DFT (meta-GGA SCAN) results for a crystal of BaLaSc2 relaxed with PBEsol.

CIF file:
```
data_BaLaSc2
_chemical_formula_sum 'Ba1 La1 Sc2'
_cell_length_a 3.371
_cell_length_b 3.371
_cell_length_c 12.563
_cell_angle_alpha 82.29
_cell_angle_beta 82.29
_cell_angle_gamma 60.00
_symmetry_space_group_name_H-M 'P 1'
_symmetry_Int_Tables_number 1
loop_
_symmetry_equiv_pos_as_xyz
'x,y,z'
loop_
_atom_site_label
_atom_site_fract_x
_atom_site_fract_y
_atom_site_fract_z
_atom_site_occupancy
Sc1 0.084 0.084 0.747 1
Sc2 0.916 0.916 0.253 1
Ba1 0.500 0.500 0.500 1
La1 0.000 0.000 0.000 1
```

## Properties
The value obtained for the calculated total energy is -27.31 eV per atom. Its density of states at the Fermi level is 6.22 states/eV/cell. Its space group is No. 166.